MnZn4Co after structural relaxation. Source: Alexandria via LeMat-Bulk, functional GGA-PBE.

abc: 4.8855 4.8855 4.8855
angles: 60.00 60.00 60.00
Closest atoms and distances in Å follow each position.
Fractional positions:
Co 0.7500 0.7500 0.7500  12 Zn 2.86, 4 Mn 2.99
Mn 0.0000 0.0000 0.0000  12 Zn 2.86, 4 Co 2.99
Zn 0.8742 0.3753 0.3753  6 Zn 2.44-2.45
Zn 0.3753 0.3753 0.8742  6 Zn 2.44-2.45
Zn 0.3753 0.8742 0.3753  6 Zn 2.44-2.45
Zn 0.3753 0.3753 0.3753  6 Zn 2.44-2.45

Summary:
- energy relative to the elements (meV/atom) = 101.1
- energy (eV per atom) = -3.46